1.
A plane-wave DFT calculation with PBE-GGA was carried out for a relaxed structure of Sc2Ga8Rh.

Summary:
The density of states at the Fermi level is 5.44 states/eV/cell. The value obtained for the magnetization is 0.000 μB/atom. The value obtained for the mass density is 6522 kg/m³. Its calculated total energy is -49.97 eV per cell.

Structure (CIF):
```
data_Sc2Ga8Rh
_cell_length_a 4.2064
_cell_length_b 4.2064
_cell_length_c 10.8005
_cell_angle_alpha 90.00
_cell_angle_beta 90.00
_cell_angle_gamma 90.00
_symmetry_space_group_name_H-M 'P 4/m m m'
_symmetry_Int_Tables_number 123
_symmetry_space_group_name_Hall '-P 4 2'
loop_
_atom_site_label
_atom_site_type_symbol
_atom_site_fract_x
_atom_site_fract_y
_atom_site_fract_z
_atom_site_occupancy
Sc1 Sc 0.0000 0.0000 0.1865 1
Ga1 Ga 0.0000 0.5000 0.0000 1
Ga2 Ga 0.0000 0.5000 0.3708 1
Ga3 Ga 0.5000 0.5000 0.1906 1
Rh1 Rh 0.0000 0.0000 0.5000 1
```

---

2.
A plane-wave DFT calculation with PBE-GGA was carried out for a relaxed structure of LiAs3Pb.

Summary:
The density of states at the Fermi level is 3.28 states/eV/cell. The value obtained for the magnetization is 0.000 μB/atom. The value obtained for the mass density is 6705 kg/m³. Its calculated total energy is -17.83 eV per cell.

Structure (CIF):
```
data_LiAs3Pb
_cell_length_a 4.7723
_cell_length_b 4.7723
_cell_length_c 4.7723
_cell_angle_alpha 90.00
_cell_angle_beta 90.00
_cell_angle_gamma 90.00
_symmetry_space_group_name_H-M 'P m -3 m'
_symmetry_Int_Tables_number 221
_symmetry_space_group_name_Hall '-P 4 2 3'
loop_
_atom_site_label
_atom_site_type_symbol
_atom_site_fract_x
_atom_site_fract_y
_atom_site_fract_z
_atom_site_occupancy
Li1 Li 0.0000 0.0000 0.0000 1
As1 As 0.0000 0.0000 0.5000 1
Pb1 Pb 0.5000 0.5000 0.5000 1
```

---

3.
A plane-wave DFT calculation with PBE-GGA was carried out for a relaxed structure of LiCaHfBi2.

Summary:
The density of states at the Fermi level is 3.93 states/eV/cell. The value obtained for the magnetization is 0.203 μB/atom. The value obtained for the mass density is 7864 kg/m³. Its calculated total energy is -20.37 eV per cell.

Structure (CIF):
```
data_LiCaHfBi2
_cell_length_a 5.2119
_cell_length_b 5.2119
_cell_length_c 5.0023
_cell_angle_alpha 90.00
_cell_angle_beta 90.00
_cell_angle_gamma 90.00
_symmetry_space_group_name_H-M 'P 4/m m m'
_symmetry_Int_Tables_number 123
_symmetry_space_group_name_Hall '-P 4 2'
loop_
_atom_site_label
_atom_site_type_symbol
_atom_site_fract_x
_atom_site_fract_y
_atom_site_fract_z
_atom_site_occupancy
Li1 Li 0.0000 0.0000 0.0000 1
Ca1 Ca 0.5000 0.5000 0.5000 1
Hf1 Hf 0.0000 0.0000 0.5000 1
Bi1 Bi 0.0000 0.5000 0.0000 1
```

---

4.
A plane-wave DFT calculation with PBE-GGA was carried out for a relaxed structure of Sr6Sn2HN.

Summary:
The density of states at the Fermi level is 1.47 states/eV/cell. The value obtained for the magnetization is 0.000 μB/atom. The value obtained for the mass density is 4419 kg/m³. Its calculated total energy is -146.26 eV per cell.

Structure (CIF):
```
data_Sr6Sn2HN
_cell_length_a 10.5361
_cell_length_b 10.5361
_cell_length_c 10.5361
_cell_angle_alpha 90.00
_cell_angle_beta 90.00
_cell_angle_gamma 90.00
_symmetry_space_group_name_H-M 'F m -3 m'
_symmetry_Int_Tables_number 225
_symmetry_space_group_name_Hall '-F 4 2 3'
loop_
_atom_site_label
_atom_site_type_symbol
_atom_site_fract_x
_atom_site_fract_y
_atom_site_fract_z
_atom_site_occupancy
Sr1 Sr 0.0000 0.0000 0.2412 1
Sn1 Sn 0.2500 0.2500 0.2500 1
H1 H 0.0000 0.0000 0.5000 1
N1 N 0.0000 0.0000 0.0000 1
```